[1]
# NaZnSiAg2 (GGA-PBE, relaxed)
data_NaZnSiAg2
_symmetry_space_group_name_H-M 'P 4/m m m'
_symmetry_Int_Tables_number 123
_symmetry_space_group_name_Hall '-P 4 2'
_cell_length_a 4.836
_cell_length_b 4.836
_cell_length_c 5.593
_cell_angle_alpha 90.00
_cell_angle_beta 90.00
_cell_angle_gamma 90.00
loop_
_atom_site_label
_atom_site_fract_x
_atom_site_fract_y
_atom_site_fract_z
Na1 0.000 0.000 0.000
Zn1 0.500 0.500 0.000
Si1 0.000 0.000 0.500
Ag1 0.000 0.500 0.500
# Magnetic moment: 0.000 μB per atom
# Energy relative to the elements, uncorrected: 0.414 eV/atom
# Final energy: -2.329 eV/atom



[2]
# Nd12HoHg6 (GGA-PBE, relaxed)
data_Nd12HoHg6
_symmetry_space_group_name_H-M 'R -3'
_symmetry_Int_Tables_number 148
_symmetry_space_group_name_Hall '-R 3'
_cell_length_a 15.2948
_cell_length_b 15.2948
_cell_length_c 8.6059
_cell_angle_alpha 90.00
_cell_angle_beta 90.00
_cell_angle_gamma 120.00
loop_
_atom_site_label
_atom_site_fract_x
_atom_site_fract_y
_atom_site_fract_z
Nd1 0.0068 0.1459 0.3372
Nd2 0.0642 0.4896 0.6564
Ho1 0.0000 0.0000 0.0000
Hg1 0.0187 0.7520 0.3412
# Magnetic moment: 0.000 μB per atom
# Final energy: -3.526 eV/atom



[3]
# ZrTiMnRh (GGA-PBE, relaxed)
data_ZrTiMnRh
_symmetry_space_group_name_H-M 'F -4 3 m'
_symmetry_Int_Tables_number 216
_symmetry_space_group_name_Hall 'F -4 2 3'
_cell_length_a 6.299
_cell_length_b 6.299
_cell_length_c 6.299
_cell_angle_alpha 90.00
_cell_angle_beta 90.00
_cell_angle_gamma 90.00
loop_
_atom_site_label
_atom_site_fract_x
_atom_site_fract_y
_atom_site_fract_z
Zr1 0.000 0.000 0.000
Ti1 0.000 0.000 0.500
Mn1 0.250 0.250 0.750
Rh1 0.250 0.250 0.250
# Magnetic moment: 0.000 μB per atom
# Final energy: -8.688 eV/atom



[4]
# NiBiP3 (GGA-PBE, relaxed)
data_NiBiP3
_symmetry_space_group_name_H-M 'C 1 m 1'
_symmetry_Int_Tables_number 8
_symmetry_space_group_name_Hall 'C -2y'
_cell_length_a 11.121
_cell_length_b 3.258
_cell_length_c 5.522
_cell_angle_alpha 90.00
_cell_angle_beta 101.74
_cell_angle_gamma 90.00
loop_
_atom_site_label
_atom_site_fract_x
_atom_site_fract_y
_atom_site_fract_z
Ni1 0.000 0.000 0.000
Bi1 0.497 0.500 0.492
P1 0.208 0.000 0.126
P2 0.252 0.500 0.406
P3 0.368 0.000 0.916
# Magnetic moment: 0.000 μB per atom
# Final energy: -5.176 eV/atom



[5]
# Co2TcTe (GGA-PBE, relaxed)
data_Co2TcTe
_symmetry_space_group_name_H-M 'P m m m'
_symmetry_Int_Tables_number 47
_symmetry_space_group_name_Hall '-P 2 2'
_cell_length_a 2.972
_cell_length_b 3.583
_cell_length_c 5.394
_cell_angle_alpha 90.00
_cell_angle_beta 90.00
_cell_angle_gamma 90.00
loop_
_atom_site_label
_atom_site_fract_x
_atom_site_fract_y
_atom_site_fract_z
Co1 0.000 0.000 0.224
Tc1 0.500 0.500 0.000
Te1 0.500 0.500 0.500
# Magnetic moment: 0.000 μB per atom
# Energy relative to the elements, uncorrected: 0.377 eV/atom
# Final energy: -6.553 eV/atom



[6]
# Ac3TlSe2 (GGA-PBE, relaxed)
data_Ac3TlSe2
_symmetry_space_group_name_H-M 'P -1'
_symmetry_Int_Tables_number 2
_symmetry_space_group_name_Hall '-P 1'
_cell_length_a 4.494
_cell_length_b 6.528
_cell_length_c 8.096
_cell_angle_alpha 113.71
_cell_angle_beta 106.11
_cell_angle_gamma 90.01
loop_
_atom_site_label
_atom_site_fract_x
_atom_site_fract_y
_atom_site_fract_z
Ac1 0.000 0.000 0.000
Ac2 0.325 0.324 0.648
Tl1 0.000 0.500 0.000
Se1 0.332 0.835 0.671
# Magnetic moment: 0.000 μB per atom
# Energy relative to the elements, uncorrected: -1.365 eV/atom
# Final energy: -4.975 eV/atom